A plane-wave DFT calculation with PBE was carried out for a relaxed structure of La3Pr7.

a = 19.0111 Å, b = 5.2586 Å, c = 7.4383 Å
α = 90.00°, β = 101.41°, γ = 90.00°
Space group C2/m (No. 12)
One atom of each set of equivalent atoms:
La: 0.0000 0.0000 0.0000
La: 0.1995 0.0000 0.5991
Pr: 0.0000 0.0000 0.5000
Pr: 0.0998 0.5000 0.3003
Pr: 0.1004 0.5000 0.8013
Pr: 0.2000 0.0000 0.1010

## Properties
- Relative energy among the computed polymorphs: 0.000 eV/atom
- Density: 6.393 g/cm3
- DFT formation energy: 0.08 eV per formula unit